1.
# Dy2HgAu

An optimized crystal structure of Dy2HgAu (GGA-PBE, Alexandria).

As for the formation energy: -0.6727 eV/atom. As for the total magnetic moment: 0.000 μB per cell. The value obtained for the density of states at the Fermi level is 2.9 states/eV/cell.

Cell lengths 3.669, 3.669, 7.279 Å; angles 90.00, 90.00, 90.00 degrees
Element x y z (fractional)
Dy (0.000, 0.000, 0.239)
Dy (0.000, 0.000, 0.761)
Hg (0.500, 0.500, 0.500)
Au (0.500, 0.500, 0.000)

=====

2.
# AsRuN2O

An optimized crystal structure of AsRuN2O (GGA-PBE, Alexandria).

The calculation puts the uncorrected formation energy at 113.88 kJ/mol of atoms. As for the total magnetic moment: 2.513 μB per cell. The value obtained for the density of states at the Fermi level is 3.5 states/eV/cell.

Cell lengths 3.815, 3.815, 3.624 Å; angles 90.00, 90.00, 90.00 degrees
Element x y z (fractional)
As (0.000, 0.000, 0.000)
Ru (0.500, 0.500, 0.500)
N (0.000, 0.500, 0.000)
N (0.500, 0.000, 0.000)
O (0.000, 0.000, 0.500)

=====

3.
# LiMnIn2

An optimized crystal structure of LiMnIn2 (GGA-PBE, Alexandria).

As for the formation energy: 0.1096 eV/atom. As for the total magnetic moment: 4.309 μB per cell. The value obtained for the density of states at the Fermi level is 2.9 states/eV/cell.

Cell lengths 9.326, 9.326, 9.326 Å; angles 20.03, 20.03, 20.03 degrees
Element x y z (fractional)
Li (0.000, 0.000, 0.000)
Mn (0.500, 0.500, 0.500)
In (0.249, 0.249, 0.249)
In (0.751, 0.751, 0.751)

=====

4.
# Tb3ZrP4

An optimized crystal structure of Tb3ZrP4 (GGA-PBE, Alexandria).

As for the formation energy: -1.5487 eV/atom. As for the total magnetic moment: 0.000 μB per cell. The value obtained for the density of states at the Fermi level is 1.5 states/eV/cell.

Cell lengths 6.835, 6.835, 3.942 Å; angles 90.00, 90.00, 109.27 degrees
Element x y z (fractional)
Tb (0.000, 0.000, 0.000)
Tb (0.000, 0.500, 0.500)
Tb (0.500, 0.000, 0.500)
Zr (0.500, 0.500, 0.000)
P (0.256, 0.744, 0.000)
P (0.262, 0.262, 0.500)
P (0.738, 0.738, 0.500)
P (0.744, 0.256, 0.000)

=====

5.
# Sm2Cd3In3

An optimized crystal structure of Sm2Cd3In3 (GGA-PBE, Alexandria).

As for the formation energy: -0.3856 eV/atom. As for the total magnetic moment: 0.000 μB per cell. The value obtained for the density of states at the Fermi level is 4.0 states/eV/cell.

Cell lengths 4.589, 4.645, 9.430 Å; angles 90.00, 90.00, 90.00 degrees
Element x y z (fractional)
Sm (0.000, 0.000, 0.247)
Sm (0.000, 0.000, 0.753)
Cd (0.000, 0.500, 0.000)
Cd (0.000, 0.500, 0.500)
Cd (0.500, 0.000, 0.500)
In (0.500, 0.000, 0.000)
In (0.500, 0.500, 0.254)
In (0.500, 0.500, 0.746)

=====

6.
# DyPaCrS6

An optimized crystal structure of DyPaCrS6 (GGA-PBE, Alexandria).

The calculation puts the uncorrected formation energy at -113.67 kJ/mol of atoms. As for the total magnetic moment: 2.021 μB per cell. The value obtained for the density of states at the Fermi level is 4.6 states/eV/cell.

Cell lengths 6.418, 6.418, 5.807 Å; angles 90.00, 90.00, 120.00 degrees
Element x y z (fractional)
Dy (0.000, 0.000, 0.000)
Pa (0.667, 0.333, 0.500)
Cr (0.333, 0.667, 0.000)
S (0.026, 0.372, 0.243)
S (0.026, 0.654, 0.757)
S (0.346, 0.372, 0.757)
S (0.346, 0.974, 0.243)
S (0.628, 0.654, 0.243)
S (0.628, 0.974, 0.757)